No. 1
DFT (GGA-PBE) results for a geometry-optimized K3Ag3HgBr8 structure.

The space group is C2/m (No. 12) and the conventional cell measures 15.198, 8.520 and 8.920 Å, with angles of 90.00, 123.90 and 90.00 degrees. Symmetry generates all atoms from K at (0.000, 0.000, 0.000), K at (0.250, 0.250, 0.000), Ag at (0.000, 0.500, 0.500), Ag at (0.250, 0.250, 0.500), Hg at (0.000, 0.000, 0.500), Br at (0.008, 0.246, 0.290), Br at (0.235, 0.000, 0.704) and Br at (0.241, 0.500, 0.713).

No. 2
DFT (GGA-PBE) results for a geometry-optimized K3AgHg2Br8 structure.

The space group is P-3m1 (No. 164) and the conventional cell measures 7.9383, 7.9383 and 9.6013 Å, with angles of 90.00, 90.00 and 120.00 degrees. Symmetry generates all atoms from K at (0.0000, 0.0000, 0.0000), K at (0.3333, 0.6667, 0.5806), Ag at (0.0000, 0.0000, 0.5000), Hg at (0.3333, 0.6667, 0.1790), Br at (0.1606, 0.3211, 0.3155) and Br at (0.3333, 0.6667, 0.9131).

No. 3
DFT (GGA-PBE) results for a geometry-optimized KAgHgBr4 structure.

The space group is P2_1/m (No. 11) and the conventional cell measures 7.226, 7.794 and 8.895 Å, with angles of 90.00, 102.15 and 90.00 degrees. Symmetry generates all atoms from K at (0.221, 0.250, 0.065), Ag at (0.289, 0.250, 0.670), Hg at (0.217, 0.750, 0.345), Br at (0.042, 0.000, 0.735), Br at (0.394, 0.750, 0.093) and Br at (0.478, 0.250, 0.438).

No. 4
DFT (GGA-PBE) results for a geometry-optimized LiAg2HgBr6 structure.

The space group is P1 (No. 1) and the conventional cell measures 7.025, 7.074 and 7.234 Å, with angles of 91.60, 112.16 and 118.53 degrees. Symmetry generates all atoms from Li at (0.000, 0.000, 0.000), Ag at (0.437, 0.219, 0.640), Ag at (0.439, 0.726, 0.128), Hg at (0.017, 0.540, 0.521), Br at (0.276, 0.318, 0.882), Br at (0.280, 0.466, 0.378), Br at (0.570, 0.125, 0.370), Br at (0.581, 0.966, 0.869), Br at (0.935, 0.843, 0.331) and Br at (0.945, 0.624, 0.849).

No. 5
DFT (GGA-PBE) results for a geometry-optimized LiAgHg2Br6 structure.

The space group is P-1 (No. 2) and the conventional cell measures 7.181, 7.193 and 7.836 Å, with angles of 62.87, 63.00 and 60.12 degrees. Symmetry generates all atoms from Li at (0.000, 0.000, 0.000), Ag at (0.500, 0.500, 0.500), Hg at (0.256, 0.254, 0.236), Br at (0.105, 0.756, 0.756), Br at (0.244, 0.617, 0.245) and Br at (0.381, 0.105, 0.754).

No. 6
DFT (GGA-PBE) results for a geometry-optimized Li2AgHgBr4 structure.

The space group is Fmm2 (No. 42) and the conventional cell measures 8.888, 8.910 and 12.400 Å, with angles of 90.00, 90.00 and 90.00 degrees. Symmetry generates all atoms from Li at (0.250, 0.250, 0.000), Ag at (0.000, 0.000, 0.249), Hg at (0.000, 0.000, 0.751), Br at (0.000, 0.229, 0.394) and Br at (0.231, 0.000, 0.105).

No. 7
DFT (GGA-PBE) results for a geometry-optimized MnAg2HgBr6 structure.

The space group is P1 (No. 1) and the conventional cell measures 7.213, 7.221 and 7.875 Å, with angles of 62.80, 62.99 and 60.05 degrees. Symmetry generates all atoms from Mn at (0.000, 0.000, 0.000), Ag at (0.325, 0.326, 0.024), Ag at (0.738, 0.741, 0.778), Hg at (0.590, 0.588, 0.237), Br at (0.090, 0.751, 0.793), Br at (0.203, 0.604, 0.271), Br at (0.363, 0.093, 0.793), Br at (0.606, 0.923, 0.272), Br at (0.750, 0.364, 0.793) and Br at (0.924, 0.201, 0.272).

No. 8
DFT (GGA-PBE) results for a geometry-optimized Na2AgHgBr5 structure.

The space group is Cmc2_1 (No. 36) and the conventional cell measures 4.281, 16.933 and 15.087 Å, with angles of 90.00, 90.00 and 90.00 degrees. Symmetry generates all atoms from Na at (0.000, 0.080, 0.000), Na at (0.000, 0.144, 0.589), Ag at (0.000, 0.443, 0.760), Hg at (0.000, 0.244, 0.357), Br at (0.000, 0.084, 0.374), Br at (0.000, 0.255, 0.007), Br at (0.000, 0.273, 0.728), Br at (0.000, 0.400, 0.363) and Br at (0.000, 0.488, 0.103).

No. 9
DFT (GGA-PBE) results for a geometry-optimized Na2AgHgBr4 structure.

The space group is I-4m2 (No. 119) and the conventional cell measures 5.967, 5.967 and 12.499 Å, with angles of 90.00, 90.00 and 90.00 degrees. Symmetry generates all atoms from Na at (0.000, 0.000, 0.000), Na at (0.000, 0.500, 0.250), Ag at (0.000, 0.500, 0.750), Hg at (0.000, 0.000, 0.500), Br at (0.000, 0.000, 0.236) and Br at (0.000, 0.500, 0.509).

No. 10
DFT (GGA-PBE) results for a geometry-optimized NaAgHg2Br6 structure.

The space group is C2/c (No. 15) and the conventional cell measures 13.975, 13.025 and 7.426 Å, with angles of 90.00, 101.66 and 90.00 degrees. Symmetry generates all atoms from Na at (0.000, 0.096, 0.250), Ag at (0.000, 0.258, 0.750), Hg at (0.192, 0.410, 0.280), Br at (0.113, 0.085, 0.634), Br at (0.120, 0.246, 0.090) and Br at (0.127, 0.412, 0.607).

No. 11
DFT (GGA-PBE) results for a geometry-optimized NaAg2HgBr6 structure.

The space group is C2/c (No. 15) and the conventional cell measures 15.334, 14.086 and 7.689 Å, with angles of 90.00, 118.44 and 90.00 degrees. Symmetry generates all atoms from Na at (0.000, 0.094, 0.250), Ag at (0.203, 0.438, 0.272), Hg at (0.000, 0.221, 0.750), Br at (0.102, 0.456, 0.453), Br at (0.111, 0.243, 0.116) and Br at (0.119, 0.068, 0.683).

No. 12
DFT (GGA-PBE) results for a geometry-optimized Na3Ag3HgBr8 structure.

The space group is C2/m (No. 12) and the conventional cell measures 14.279, 8.498 and 8.386 Å, with angles of 90.00, 124.54 and 90.00 degrees. Symmetry generates all atoms from Na at (0.000, 0.000, 0.000), Na at (0.250, 0.250, 0.500), Ag at (0.000, 0.500, 0.500), Ag at (0.250, 0.250, 0.000), Hg at (0.000, 0.500, 0.000), Br at (0.007, 0.261, 0.762), Br at (0.241, 0.500, 0.234) and Br at (0.246, 0.500, 0.746).

Number 1: formation energy (no corrections) -0.889 eV/atom, E_tot -77.7 eV/cell. Number 2: formation energy (no corrections) -0.944 eV/atom, E_tot -33.3 eV/cell. Number 3: formation energy (no corrections) -0.757 eV/atom, E_tot -32.5 eV/cell. Number 4: formation energy (no corrections) -0.533 eV/atom, E_tot -23.3 eV/cell. Number 5: formation energy (no corrections) -0.605 eV/atom, E_tot -21.5 eV/cell. Number 6: formation energy (no corrections) -0.843 eV/atom, E_tot -81.7 eV/cell. Number 7: formation energy (no corrections) -0.465 eV/atom, E_tot -29.9 eV/cell. Number 8: formation energy (no corrections) -0.881 eV/atom, E_tot -88.3 eV/cell. Number 9: formation energy (no corrections) -0.884 eV/atom, E_tot -39.1 eV/cell. Number 10: formation energy (no corrections) -0.630 eV/atom, E_tot -84.4 eV/cell. Number 11: formation energy (no corrections) -0.523 eV/atom, E_tot -90.3 eV/cell. Number 12: formation energy (no corrections) -0.823 eV/atom, E_tot -77.1 eV/cell.